Computed, not measured: a relaxed Ce4PmPr3Se8 crystal at the GGA-PBE level of DFT.

Results
Size of the total moment (μB/atom): 0.2409
Raw total energy (eV for the cell shown): -100.1
Crystal system: trigonal

a = 8.4643 Å, b = 8.4643 Å, c = 8.4643 Å
α = 59.85°, β = 59.85°, γ = 59.85°
Element x y z (fractional)
1 Ce 0.0000 0.0000 0.0000
2 Ce 0.0000 0.5000 0.5000
3 Ce 0.5000 0.0000 0.5000
4 Ce 0.5000 0.5000 0.0000
5 Pm 0.5000 0.5000 0.5000
6 Pr 0.0000 0.0000 0.5000
7 Pr 0.0000 0.5000 0.0000
8 Pr 0.5000 0.0000 0.0000
9 Se 0.2504 0.2504 0.7464
10 Se 0.2504 0.7464 0.2504
11 Se 0.2516 0.2516 0.2516
12 Se 0.2536 0.7496 0.7496
13 Se 0.7464 0.2504 0.2504
14 Se 0.7484 0.7484 0.7484
15 Se 0.7496 0.2536 0.7496
16 Se 0.7496 0.7496 0.2536

Computed, not measured: a relaxed CePm2Pr3Se6 crystal at the GGA-PBE level of DFT.

Results
Size of the total moment (μB/atom): 0.0726
Raw total energy (eV for the cell shown): -72.8
Crystal system: monoclinic

a = 7.3248 Å, b = 7.3248 Å, c = 7.3447 Å
α = 99.58°, β = 99.58°, γ = 120.10°
Element x y z (fractional)
1 Ce 0.0000 0.0000 0.0000
2 Pm 0.3326 0.6674 0.0000
3 Pm 0.6674 0.3326 0.0000
4 Pr 0.1693 0.8307 0.5000
5 Pr 0.5000 0.5000 0.5000
6 Pr 0.8307 0.1693 0.5000
7 Se 0.0814 0.4133 0.2436
8 Se 0.2509 0.2509 0.7549
9 Se 0.4133 0.0814 0.2436
10 Se 0.5867 0.9186 0.7564
11 Se 0.7491 0.7491 0.2451
12 Se 0.9186 0.5867 0.7564

Computed, not measured: a relaxed Ce3PmPr4Se8 crystal at the GGA-PBE level of DFT.

Results
Size of the total moment (μB/atom): 0.1779
Raw total energy (eV for the cell shown): -99.0
Crystal system: trigonal

a = 8.4722 Å, b = 8.4722 Å, c = 8.4722 Å
α = 59.94°, β = 59.94°, γ = 59.94°
Element x y z (fractional)
1 Ce 0.0000 0.5000 0.5000
2 Ce 0.5000 0.0000 0.5000
3 Ce 0.5000 0.5000 0.0000
4 Pm 0.0000 0.0000 0.0000
5 Pr 0.0000 0.0000 0.5000
6 Pr 0.0000 0.5000 0.0000
7 Pr 0.5000 0.0000 0.0000
8 Pr 0.5000 0.5000 0.5000
9 Se 0.2481 0.2481 0.7482
10 Se 0.2481 0.7482 0.2481
11 Se 0.2517 0.2517 0.2517
12 Se 0.2518 0.7519 0.7519
13 Se 0.7482 0.2481 0.2481
14 Se 0.7483 0.7483 0.7483
15 Se 0.7519 0.2518 0.7519
16 Se 0.7519 0.7519 0.2518

Computed, not measured: a relaxed CePmPr6Sm2 crystal at the GGA-PBE level of DFT.

Results
Size of the total moment (μB/atom): 0.1029
Raw total energy (eV for the cell shown): -46.5
Crystal system: monoclinic

a = 6.7341 Å, b = 6.7341 Å, c = 9.0218 Å
α = 101.58°, β = 101.58°, γ = 63.46°
Element x y z (fractional)
1 Ce 0.0000 0.0000 0.0000
2 Pm 0.5000 0.5000 0.5000
3 Pr 0.0891 0.5627 0.2022
4 Pr 0.1249 0.1249 0.4142
5 Pr 0.4373 0.9109 0.7978
6 Pr 0.5627 0.0891 0.2022
7 Pr 0.8751 0.8751 0.5858
8 Pr 0.9109 0.4373 0.7978
9 Sm 0.4093 0.4093 0.8403
10 Sm 0.5907 0.5907 0.1597

Computed, not measured: a relaxed CePm6PrSm2 crystal at the GGA-PBE level of DFT.

Results
Size of the total moment (μB/atom): 0.1098
Raw total energy (eV for the cell shown): -46.3
Crystal system: monoclinic

a = 6.7070 Å, b = 6.7070 Å, c = 9.0074 Å
α = 102.41°, β = 102.41°, γ = 62.16°
Element x y z (fractional)
1 Ce 0.0000 0.0000 0.0000
2 Pm 0.0862 0.5625 0.1981
3 Pm 0.1253 0.1253 0.4143
4 Pm 0.4375 0.9138 0.8019
5 Pm 0.5625 0.0862 0.1981
6 Pm 0.8747 0.8747 0.5857
7 Pm 0.9138 0.4375 0.8019
8 Pr 0.5000 0.5000 0.5000
9 Sm 0.4116 0.4116 0.8385
10 Sm 0.5884 0.5884 0.1615

Computed, not measured: a relaxed CePmPrSn crystal at the GGA-PBE level of DFT.

Results
Size of the total moment (μB/atom): 0.1320
Raw total energy (eV for the cell shown): -20.3
Crystal system: cubic

a = 5.5140 Å, b = 5.5140 Å, c = 5.5140 Å
α = 60.00°, β = 60.00°, γ = 60.00°
Element x y z (fractional)
1 Ce 0.0000 0.0000 0.0000
2 Pm 0.7500 0.7500 0.7500
3 Pr 0.2500 0.2500 0.2500
4 Sn 0.5000 0.5000 0.5000

Computed, not measured: a relaxed Tb2CePmPr6 crystal at the GGA-PBE level of DFT.

Results
Size of the total moment (μB/atom): 0.1142
Raw total energy (eV for the cell shown): -46.3
Crystal system: monoclinic

a = 6.6924 Å, b = 6.6924 Å, c = 8.9824 Å
α = 100.58°, β = 100.58°, γ = 64.02°
Element x y z (fractional)
1 Tb 0.0928 0.0928 0.1570
2 Tb 0.9072 0.9072 0.8430
3 Ce 0.5000 0.5000 0.0000
4 Pm 0.0000 0.0000 0.5000
5 Pr 0.0650 0.5940 0.2024
6 Pr 0.3717 0.3717 0.5828
7 Pr 0.4060 0.9350 0.7976
8 Pr 0.5940 0.0650 0.2024
9 Pr 0.6283 0.6283 0.4172
10 Pr 0.9350 0.4060 0.7976

Computed, not measured: a relaxed TbCePm2Pr6 crystal at the GGA-PBE level of DFT.

Results
Size of the total moment (μB/atom): 0.0951
Raw total energy (eV for the cell shown): -46.5
Crystal system: monoclinic

a = 6.7549 Å, b = 6.7549 Å, c = 8.9952 Å
α = 102.45°, β = 102.45°, γ = 63.34°
Element x y z (fractional)
1 Tb 0.0000 0.0000 0.0000
2 Ce 0.5000 0.5000 0.5000
3 Pm 0.0889 0.0889 0.6649
4 Pm 0.9111 0.9111 0.3351
5 Pr 0.0593 0.5868 0.7036
6 Pr 0.3775 0.3775 0.0863
7 Pr 0.4132 0.9407 0.2964
8 Pr 0.5868 0.0593 0.7036
9 Pr 0.6225 0.6225 0.9137
10 Pr 0.9407 0.4132 0.2964

Computed, not measured: a relaxed TbCePmPr crystal at the GGA-PBE level of DFT.

Results
Polymorph energy (0 for the lowest one) (meV/atom): 0.0
Size of the total moment (μB/atom): 0.3309
Crystal system: cubic

a = 5.7566 Å, b = 5.7566 Å, c = 5.7566 Å
α = 60.00°, β = 60.00°, γ = 60.00°
Element x y z (fractional)
1 Tb 0.0000 0.0000 0.0000
2 Ce 0.7500 0.7500 0.7500
3 Pm 0.5000 0.5000 0.5000
4 Pr 0.2500 0.2500 0.2500

Computed, not measured: a relaxed Tb6Ce2Pm3Pr crystal at the GGA-PBE level of DFT.

Results
Size of the total moment (μB/atom): 0.1604
Raw total energy (eV for the cell shown): -58.1
Crystal system: monoclinic

a = 6.2253 Å, b = 6.2253 Å, c = 11.8338 Å
α = 95.03°, β = 95.03°, γ = 120.02°
Element x y z (fractional)
1 Tb 0.0808 0.4171 0.7523
2 Tb 0.2466 0.2466 0.2477
3 Tb 0.4171 0.0808 0.7523
4 Tb 0.5829 0.9192 0.2477
5 Tb 0.7534 0.7534 0.7523
6 Tb 0.9192 0.5829 0.2477
7 Ce 0.1667 0.8333 0.0000
8 Ce 0.8333 0.1667 0.0000
9 Pm 0.0000 0.0000 0.5000
10 Pm 0.3338 0.6662 0.5000
11 Pm 0.6662 0.3338 0.5000
12 Pr 0.5000 0.5000 0.0000

Computed, not measured: a relaxed Tb5CePmPr2 crystal at the GGA-PBE level of DFT.

Results
Size of the total moment (μB/atom): 0.1137
Raw total energy (eV for the cell shown): -82.1
Crystal system: tetragonal

a = 9.9966 Å, b = 9.9966 Å, c = 9.9966 Å
α = 128.50°, β = 128.50°, γ = 75.82°
Element x y z (fractional)
1 Tb 0.0000 0.0000 0.0000
2 Tb 0.0622 0.5622 0.9061
3 Tb 0.1560 0.0622 0.5000
4 Tb 0.3440 0.8440 0.9061
5 Tb 0.4378 0.3440 0.5000
6 Tb 0.5000 0.5000 0.0000
7 Tb 0.5622 0.6560 0.5000
8 Tb 0.6560 0.1560 0.0939
9 Tb 0.8440 0.9378 0.5000
10 Tb 0.9378 0.4378 0.0939
11 Ce 0.2500 0.7500 0.5000
12 Ce 0.7500 0.2500 0.5000
13 Pm 0.2500 0.2500 0.0000
14 Pm 0.7500 0.7500 0.0000
15 Pr 0.1214 0.3786 0.5000
16 Pr 0.3786 0.8786 0.2572
17 Pr 0.6214 0.1214 0.7428
18 Pr 0.8786 0.6214 0.5000

Computed, not measured: a relaxed CePmPrTc crystal at the GGA-PBE level of DFT.

Results
Size of the total moment (μB/atom): 0.0026
Raw total energy (eV for the cell shown): -25.3
Crystal system: trigonal

a = 7.8701 Å, b = 7.8701 Å, c = 7.8701 Å
α = 32.13°, β = 32.13°, γ = 32.13°
Element x y z (fractional)
1 Ce 0.0000 0.0000 0.0000
2 Pm 0.4357 0.4357 0.4357
3 Pr 0.2284 0.2284 0.2284
4 Tc 0.6633 0.6633 0.6633

Computed, not measured: a relaxed CePm2Pr3Te6 crystal at the GGA-PBE level of DFT.

Results
Size of the total moment (μB/atom): 0.1046
Raw total energy (eV for the cell shown): -65.7
Crystal system: monoclinic

a = 10.0613 Å, b = 10.0613 Å, c = 9.0692 Å
α = 102.95°, β = 102.95°, γ = 25.71°
Element x y z (fractional)
1 Ce 0.0000 0.0000 0.0000
2 Pm 0.3336 0.3336 0.6681
3 Pm 0.6664 0.6664 0.3319
4 Pr 0.0000 0.0000 0.5000
5 Pr 0.3326 0.3326 0.1667
6 Pr 0.6674 0.6674 0.8333
7 Te 0.1656 0.1656 0.0856
8 Te 0.1681 0.1681 0.5798
9 Te 0.4992 0.4992 0.7515
10 Te 0.5008 0.5008 0.2485
11 Te 0.8319 0.8319 0.4202
12 Te 0.8344 0.8344 0.9144

Computed, not measured: a relaxed Ce3Pm4PrTe8 crystal at the GGA-PBE level of DFT.

Results
Size of the total moment (μB/atom): 0.2273
Raw total energy (eV for the cell shown): -89.2
Crystal system: trigonal

a = 8.9887 Å, b = 8.9887 Å, c = 8.9887 Å
α = 59.69°, β = 59.69°, γ = 59.69°
Element x y z (fractional)
1 Ce 0.0000 0.5000 0.5000
2 Ce 0.5000 0.0000 0.5000
3 Ce 0.5000 0.5000 0.0000
4 Pm 0.0000 0.0000 0.5000
5 Pm 0.0000 0.5000 0.0000
6 Pm 0.5000 0.0000 0.0000
7 Pm 0.5000 0.5000 0.5000
8 Pr 0.0000 0.0000 0.0000
9 Te 0.2493 0.2493 0.2493
10 Te 0.2506 0.7483 0.7483
11 Te 0.2517 0.2517 0.7494
12 Te 0.2517 0.7494 0.2517
13 Te 0.7483 0.2506 0.7483
14 Te 0.7483 0.7483 0.2506
15 Te 0.7494 0.2517 0.2517
16 Te 0.7507 0.7507 0.7507

Computed, not measured: a relaxed Ce3PmPr3Te8 crystal at the GGA-PBE level of DFT.

Results
Size of the total moment (μB/atom): 0.2481
Raw total energy (eV for the cell shown): -83.6
Crystal system: trigonal

a = 9.0056 Å, b = 9.0056 Å, c = 9.0056 Å
α = 59.86°, β = 59.86°, γ = 59.86°
Element x y z (fractional)
1 Ce 0.0000 0.5000 0.5000
2 Ce 0.5000 0.0000 0.5000
3 Ce 0.5000 0.5000 0.0000
4 Pm 0.0000 0.0000 0.0000
5 Pr 0.0000 0.0000 0.5000
6 Pr 0.0000 0.5000 0.0000
7 Pr 0.5000 0.0000 0.0000
8 Te 0.2509 0.2509 0.2509
9 Te 0.2530 0.2530 0.7452
10 Te 0.2530 0.7452 0.2530
11 Te 0.2548 0.7470 0.7470
12 Te 0.7452 0.2530 0.2530
13 Te 0.7470 0.2548 0.7470
14 Te 0.7470 0.7470 0.2548
15 Te 0.7491 0.7491 0.7491

Computed, not measured: a relaxed CePm3Pr4Te8 crystal at the GGA-PBE level of DFT.

Results
Size of the total moment (μB/atom): 0.0750
Raw total energy (eV for the cell shown): -87.1
Crystal system: trigonal

a = 9.0140 Å, b = 9.0140 Å, c = 9.0140 Å
α = 59.88°, β = 59.88°, γ = 59.88°
Element x y z (fractional)
1 Ce 0.0000 0.0000 0.0000
2 Pm 0.0000 0.5000 0.5000
3 Pm 0.5000 0.0000 0.5000
4 Pm 0.5000 0.5000 0.0000
5 Pr 0.0000 0.0000 0.5000
6 Pr 0.0000 0.5000 0.0000
7 Pr 0.5000 0.0000 0.0000
8 Pr 0.5000 0.5000 0.5000
9 Te 0.2485 0.2485 0.7481
10 Te 0.2485 0.7481 0.2485
11 Te 0.2517 0.2517 0.2517
12 Te 0.2519 0.7515 0.7515
13 Te 0.7481 0.2485 0.2485
14 Te 0.7483 0.7483 0.7483
15 Te 0.7515 0.2519 0.7515
16 Te 0.7515 0.7515 0.2519

Computed, not measured: a relaxed Ce2PmPr3Te6 crystal at the GGA-PBE level of DFT.

Results
Size of the total moment (μB/atom): 0.2040
Raw total energy (eV for the cell shown): -66.8
Crystal system: monoclinic

a = 10.0889 Å, b = 10.0889 Å, c = 9.0756 Å
α = 103.37°, β = 103.37°, γ = 25.67°
Element x y z (fractional)
1 Ce 0.1671 0.1671 0.3344
2 Ce 0.8329 0.8329 0.6656
3 Pm 0.5000 0.5000 0.0000
4 Pr 0.1655 0.1655 0.8331
5 Pr 0.5000 0.5000 0.5000
6 Pr 0.8345 0.8345 0.1669
7 Te 0.0014 0.0014 0.2472
8 Te 0.3329 0.3329 0.4179
9 Te 0.3342 0.3342 0.9145
10 Te 0.6658 0.6658 0.0855
11 Te 0.6671 0.6671 0.5821
12 Te 0.9986 0.9986 0.7528

Computed, not measured: a relaxed CePm3Pr2Te6 crystal at the GGA-PBE level of DFT.

Results
Size of the total moment (μB/atom): 0.1065
Raw total energy (eV for the cell shown): -65.6
Crystal system: monoclinic

a = 10.0393 Å, b = 10.0393 Å, c = 9.0433 Å
α = 102.95°, β = 102.95°, γ = 25.72°
Element x y z (fractional)
1 Ce 0.0000 0.0000 0.0000
2 Pm 0.0000 0.0000 0.5000
3 Pm 0.3309 0.3309 0.1657
4 Pm 0.6691 0.6691 0.8343
5 Pr 0.3330 0.3330 0.6671
6 Pr 0.6670 0.6670 0.3329
7 Te 0.1655 0.1655 0.5859
8 Te 0.1660 0.1660 0.0793
9 Te 0.4981 0.4981 0.2505
10 Te 0.5019 0.5019 0.7495
11 Te 0.8340 0.8340 0.9207
12 Te 0.8345 0.8345 0.4141

Computed, not measured: a relaxed CePm2PrTl4 crystal at the GGA-PBE level of DFT.

Results
Size of the total moment (μB/atom): 0.1309
Raw total energy (eV for the cell shown): -32.4
Crystal system: trigonal

a = 9.5619 Å, b = 9.5619 Å, c = 9.5619 Å
α = 33.53°, β = 33.53°, γ = 33.53°
Element x y z (fractional)
1 Ce 0.0000 0.0000 0.0000
2 Pm 0.2498 0.2498 0.2498
3 Pm 0.7502 0.7502 0.7502
4 Pr 0.5000 0.5000 0.5000
5 Tl 0.1245 0.1245 0.1245
6 Tl 0.3745 0.3745 0.3745
7 Tl 0.6255 0.6255 0.6255
8 Tl 0.8755 0.8755 0.8755

Computed, not measured: a relaxed Ce2PmPrTl4 crystal at the GGA-PBE level of DFT.

Results
Size of the total moment (μB/atom): 0.2684
Raw total energy (eV for the cell shown): -33.2
Crystal system: trigonal

a = 9.5716 Å, b = 9.5716 Å, c = 9.5716 Å
α = 33.55°, β = 33.55°, γ = 33.55°
Element x y z (fractional)
1 Ce 0.2501 0.2501 0.2501
2 Ce 0.7499 0.7499 0.7499
3 Pm 0.0000 0.0000 0.0000
4 Pr 0.5000 0.5000 0.5000
5 Tl 0.1243 0.1243 0.1243
6 Tl 0.3744 0.3744 0.3744
7 Tl 0.6256 0.6256 0.6256
8 Tl 0.8757 0.8757 0.8757